[1]
# Sc2CdPt2 GGA-PBE optimized geometry
# V = 21.7 Å³/atom
# total energy = -5.925 eV/atom
# formation enthalpy at 0 K = -0.793 eV per atom
# crystal system = tetragonal
data_Sc2CdPt2
_chemical_formula_sum 'Sc4 Cd2 Pt4'
_space_group_name_H-M_alt 'I 4/m m m'
_space_group_IT_number 139
_space_group_name_Hall '-I 4 2'
_cell_length_a 4.4560
_cell_length_b 4.4560
_cell_length_c 10.9377
_cell_angle_alpha 90.00
_cell_angle_beta 90.00
_cell_angle_gamma 90.00
loop_
_atom_site_label
_atom_site_type_symbol
_atom_site_fract_x
_atom_site_fract_y
_atom_site_fract_z
Sc1 Sc 0.0000 0.5000 0.2500
Cd1 Cd 0.0000 0.0000 0.0000
Pt1 Pt 0.0000 0.0000 0.3826

=====

[2]
# Sc11Cd9Pt4 GGA-PBE optimized geometry
# V = 21.0 Å³/atom
# total energy = -4.889 eV/atom
# formation enthalpy at 0 K = -0.637 eV per atom
# crystal system = orthorhombic
data_Sc11Cd9Pt4
_chemical_formula_sum 'Sc22 Cd18 Pt8'
_space_group_name_H-M_alt 'C m m m'
_space_group_IT_number 65
_space_group_name_Hall '-C 2 2'
_cell_length_a 14.1911
_cell_length_b 21.1253
_cell_length_c 3.3576
_cell_angle_alpha 90.00
_cell_angle_beta 90.00
_cell_angle_gamma 90.00
loop_
_atom_site_label
_atom_site_type_symbol
_atom_site_fract_x
_atom_site_fract_y
_atom_site_fract_z
Sc1 Sc 0.0000 0.0000 0.0000
Sc2 Sc 0.0000 0.1585 0.0000
Sc3 Sc 0.0000 0.3694 0.0000
Sc4 Sc 0.1945 0.5000 0.0000
Sc5 Sc 0.2456 0.1705 0.0000
Cd1 Cd 0.0000 0.5000 0.5000
Cd2 Cd 0.1058 0.2581 0.5000
Cd3 Cd 0.1414 0.0726 0.5000
Pt1 Pt 0.1503 0.3990 0.5000